First-principles (PBE) data for KB2MoPb after structural relaxation, as listed in the Alexandria database.

Cell: 4.4048 4.4048 5.2718 Å, 90.00 90.00 90.00°
Last column: nearest neighbours and their distance in Å.
Fractional coordinates of all 5 atoms:
1 K 0.0000 0.0000 0.0000  2 Mo 2.64
2 B 0.0000 0.5000 0.5000  2 Mo 2.20
3 B 0.5000 0.0000 0.5000  2 Mo 2.20
4 Mo 0.0000 0.0000 0.5000  4 B 2.20
5 Pb 0.5000 0.5000 0.0000  4 K 3.11, 8 B 3.43

formation energy from the elements: 1.51 eV per atom
space-group type: P4/mmm

First-principles (PBE) data for K2BMoPb after structural relaxation, as listed in the Alexandria database.

Cell: 6.7572 6.7572 5.4264 Å, 90.00 90.00 90.00°
Last column: nearest neighbours and their distance in Å.
Fractional coordinates of all 5 atoms:
1 K 0.0000 0.5000 0.0000  2 Pb 3.38
2 K 0.5000 0.0000 0.0000  2 Pb 3.38
3 B 0.0000 0.0000 0.5000  8 K 4.33, 4 Mo 4.78
4 Mo 0.5000 0.5000 0.5000  2 Pb 2.71
5 Pb 0.5000 0.5000 0.0000  2 Mo 2.71

formation energy from the elements: 1.82 eV per atom
space-group type: P4/mmm

First-principles (PBE) data for KSnB2Mo after structural relaxation, as listed in the Alexandria database.

Cell: 4.4487 4.4487 5.1389 Å, 90.00 90.00 90.00°
Last column: nearest neighbours and their distance in Å.
Fractional coordinates of all 5 atoms:
1 K 0.0000 0.0000 0.0000  4 Sn 3.15, 8 B 3.40
2 Sn 0.5000 0.5000 0.0000  2 Mo 2.57
3 B 0.0000 0.5000 0.5000  2 Mo 2.22
4 B 0.5000 0.0000 0.5000  2 Mo 2.22
5 Mo 0.5000 0.5000 0.5000  4 B 2.22

formation energy from the elements: 0.81 eV per atom
space-group type: P4/mmm

Table of DOS at the Fermi energy (states/eV/cell), in record order: 4.6 4.3 2.4